VASP calculation (PBE) on a relaxed structure of Na4Ga3Si3BrO12.

Properties
* space group: P-43n (218)
* formation energy from raw total energies: -2.273 eV/atom

a b c (Å): 9.1039 9.1039 9.1039
angles (deg): 90.00 90.00 90.00
Element x y z (fractional)
Na1 0.1808 0.1808 0.1808
Na2 0.1808 0.8192 0.8192
Na3 0.3192 0.3192 0.6808
Na4 0.3192 0.6808 0.3192
Na5 0.6808 0.3192 0.3192
Na6 0.6808 0.6808 0.6808
Na7 0.8192 0.1808 0.8192
Na8 0.8192 0.8192 0.1808
Ga1 0.0000 0.2500 0.5000
Ga2 0.0000 0.7500 0.5000
Ga3 0.2500 0.5000 0.0000
Ga4 0.5000 0.0000 0.2500
Ga5 0.5000 0.0000 0.7500
Ga6 0.7500 0.5000 0.0000
Si1 0.0000 0.5000 0.2500
Si2 0.0000 0.5000 0.7500
Si3 0.2500 0.0000 0.5000
Si4 0.5000 0.2500 0.0000
Si5 0.5000 0.7500 0.0000
Si6 0.7500 0.0000 0.5000
Br1 0.0000 0.0000 0.0000
Br2 0.5000 0.5000 0.5000
O1 0.0692 0.3646 0.6523
O2 0.0692 0.6354 0.3477
O3 0.1354 0.4308 0.1523
O4 0.1354 0.5692 0.8477
O5 0.1523 0.1354 0.4308
O6 0.1523 0.8646 0.5692
O7 0.3477 0.0692 0.6354
O8 0.3477 0.9308 0.3646
O9 0.3646 0.3477 0.9308
O10 0.3646 0.6523 0.0692
O11 0.4308 0.1523 0.1354
O12 0.4308 0.8477 0.8646
O13 0.5692 0.1523 0.8646
O14 0.5692 0.8477 0.1354
O15 0.6354 0.3477 0.0692
O16 0.6354 0.6523 0.9308
O17 0.6523 0.0692 0.3646
O18 0.6523 0.9308 0.6354
O19 0.8477 0.1354 0.5692
O20 0.8477 0.8646 0.4308
O21 0.8646 0.4308 0.8477
O22 0.8646 0.5692 0.1523
O23 0.9308 0.3646 0.3477
O24 0.9308 0.6354 0.6523